Record 1
BaSn2PtO6 | PBE-GGA | optimized geometry

Summary:
As for the total magnetization: 2.00 μB per cell.

Unit cell a=4.079 b=4.079 c=8.163 alpha=90.00 beta=90.00 gamma=90.00
Space group P4/mmm (No. 123)
Unique sites:
Ba 0.000 0.000 0.000 (multiplicity 1)
Sn 0.500 0.500 0.256 (multiplicity 2)
Pt 0.000 0.000 0.500 (multiplicity 1)
O 0.000 0.500 0.254 (multiplicity 4)
O 0.500 0.500 0.000 (multiplicity 1)
O 0.500 0.500 0.500 (multiplicity 1)

---

Record 2
Li4ZrSiO6 | PBE-GGA | optimized geometry

Summary:
As for the total magnetization: 0.00 μB per cell.

Unit cell a=5.093 b=8.924 c=5.032 alpha=90.00 beta=108.77 gamma=90.00
Space group C2 (No. 5)
Unique sites:
Li 0.000 0.000 0.000 (multiplicity 2)
Li 0.000 0.150 0.500 (multiplicity 2)
Li 0.000 0.529 0.500 (multiplicity 2)
Li 0.000 0.828 0.500 (multiplicity 2)
Zr 0.000 0.335 0.000 (multiplicity 2)
Si 0.000 0.667 0.000 (multiplicity 2)
O 0.215 0.519 0.227 (multiplicity 4)
O 0.222 0.669 0.782 (multiplicity 4)
O 0.222 0.809 0.226 (multiplicity 4)

---

Record 3
ReN2 | PBE-GGA | optimized geometry

Summary:
As for the total magnetization: 0.01 μB per cell.

Unit cell a=6.076 b=6.076 c=6.076 alpha=90.00 beta=90.00 gamma=90.00
Space group Fd-3m (No. 227, origin choice 2)
Unique sites:
Re 0.125 0.125 0.125 (multiplicity 8)
N 0.000 0.000 0.500 (multiplicity 16)

---

Record 4
CoAsPtAu | PBE-GGA | optimized geometry

Summary:
As for the total magnetization: 6.36 μB per cell. Its energy relative to the lowest polymorph listed for this composition is 0 meV per atom.

Unit cell a=6.298 b=6.298 c=6.298 alpha=90.00 beta=90.00 gamma=90.00
Space group F-43m (No. 216)
Unique sites:
Co 0.000 0.000 0.000 (multiplicity 4)
As 0.250 0.250 0.750 (multiplicity 4)
Pt 0.000 0.000 0.500 (multiplicity 4)
Au 0.250 0.250 0.250 (multiplicity 4)

---

Record 5
SrScCuTe2Se | PBE-GGA | optimized geometry

Summary:
As for the total magnetization: 0.00 μB per cell.

Unit cell a=4.152 b=14.336 c=10.452 alpha=90.00 beta=90.00 gamma=90.00
Space group Cmcm (No. 63)
Unique sites:
Sr 0.000 0.235 0.250 (multiplicity 4)
Sc 0.000 0.500 0.000 (multiplicity 4)
Cu 0.000 0.025 0.750 (multiplicity 4)
Te 0.000 0.140 0.555 (multiplicity 8)
Se 0.000 0.431 0.750 (multiplicity 4)

---

Record 6
MgCdFeSe3 | PBE-GGA | optimized geometry

Summary:
As for the total magnetization: 16.11 μB per cell. Its energy relative to the lowest polymorph listed for this composition is 0 meV per atom.

Unit cell a=3.786 b=12.719 c=10.842 alpha=90.00 beta=90.00 gamma=90.00
Space group Cmcm (No. 63)
Unique sites:
Mg 0.000 0.231 0.250 (multiplicity 4)
Cd 0.000 0.000 0.000 (multiplicity 4)
Fe 0.000 0.471 0.750 (multiplicity 4)
Se 0.000 0.102 0.750 (multiplicity 4)
Se 0.000 0.351 0.579 (multiplicity 8)

---

Record 7
YCoSbOs | PBE-GGA | optimized geometry

Summary:
As for the total magnetization: 11.54 μB per cell. Its energy relative to the lowest polymorph listed for this composition is 462 meV per atom.

Unit cell a=6.627 b=6.627 c=6.627 alpha=90.00 beta=90.00 gamma=90.00
Space group F-43m (No. 216)
Unique sites:
Y 0.000 0.000 0.000 (multiplicity 4)
Co 0.000 0.000 0.500 (multiplicity 4)
Sb 0.250 0.250 0.250 (multiplicity 4)
Os 0.250 0.250 0.750 (multiplicity 4)

---

Record 8
Pr3GdAu4 | PBE-GGA | optimized geometry

Summary:
The formation energy comes out at -813.1 meV/atom. As for the total magnetization: 0.01 μB per cell.

Unit cell a=5.859 b=4.816 c=7.466 alpha=90.00 beta=90.88 gamma=90.00
Space group Pm (No. 6)
Unique sites:
Pr 0.000 0.000 0.000 (multiplicity 1)
Pr 0.214 0.000 0.497 (multiplicity 1)
Pr 0.712 0.500 0.628 (multiplicity 1)
Gd 0.499 0.500 0.130 (multiplicity 1)
Au 0.006 0.500 0.270 (multiplicity 1)
Au 0.211 0.500 0.778 (multiplicity 1)
Au 0.504 0.000 0.865 (multiplicity 1)
Au 0.700 0.000 0.346 (multiplicity 1)

---

Record 9
KSnAu3S4 | PBE-GGA | optimized geometry

Summary:
Its energy relative to the lowest polymorph listed for this composition is 0 meV per atom.

Unit cell a=6.140 b=7.533 c=10.760 alpha=90.00 beta=99.21 gamma=90.00
Space group P2_1/m (No. 11)
Unique sites:
K 0.172 0.250 0.357 (multiplicity 2)
Sn 0.094 0.250 0.777 (multiplicity 2)
Au 0.365 0.555 0.095 (multiplicity 4)
Au 0.474 0.750 0.343 (multiplicity 2)
S 0.060 0.750 0.021 (multiplicity 2)
S 0.143 0.750 0.426 (multiplicity 2)
S 0.317 0.519 0.760 (multiplicity 4)

---

Record 10
AcReB | PBE-GGA | optimized geometry

Summary:
As for the total magnetization: 1.97 μB per cell. Its energy relative to the lowest polymorph listed for this composition is 0 meV per atom.

Unit cell a=6.246 b=6.246 c=6.246 alpha=90.00 beta=90.00 gamma=90.00
Space group F-43m (No. 216)
Unique sites:
Ac 0.000 0.000 0.000 (multiplicity 4)
Re 0.000 0.000 0.500 (multiplicity 4)
B 0.250 0.250 0.250 (multiplicity 4)

---

Record 11
La4TlOs | PBE-GGA | optimized geometry

Summary:
As for the total magnetization: 0.15 μB per cell.

Unit cell a=9.085 b=13.721 c=6.385 alpha=90.00 beta=108.05 gamma=90.00
Space group C2/c (No. 15)
Unique sites:
La 0.114 0.168 0.051 (multiplicity 8)
La 0.223 0.421 0.391 (multiplicity 8)
Tl 0.000 0.379 0.750 (multiplicity 4)
Os 0.000 0.001 0.750 (multiplicity 4)

---

Record 12
Ho2Tm2InCo2Ge4 | PBE-GGA | optimized geometry

Summary:
As for the total magnetization: 3.17 μB per cell.

Unit cell a=15.359 b=4.214 c=6.953 alpha=90.00 beta=108.01 gamma=90.00
Space group C2/m (No. 12)
Unique sites:
Ho 0.090 0.000 0.388 (multiplicity 4)
Tm 0.155 0.000 0.941 (multiplicity 4)
In 0.000 0.500 0.000 (multiplicity 2)
Co 0.221 0.500 0.631 (multiplicity 4)
Ge 0.069 0.500 0.661 (multiplicity 4)
Ge 0.206 0.500 0.268 (multiplicity 4)

---

What are the calculated total energy values for these records? In order: -5.69; -6.78; -6.86; -5.09; -4.81; -3.97; -6.80; -4.82; -3.76; -6.66; -5.81; -5.59 eV/atom.